Here is an optimized crystal structure of Zr2ScTa from the Alexandria database. Energies are from PBE.

Values from the calculation:
Spin magnetization, μB per atom: 0.00
Formation energy from the elements, meV per atom: 146
SG: No. 35

```
8
Lattice="3.5621 0.0000 0.0000 0.0000 4.8146 0.0000 0.0000 0.0000 10.1296" Properties=species:S:1:pos:R:3 pbc="T T T"
Zr 0.0000 0.0000 0.0000
Zr 0.0000 2.4073 2.6302
Zr 1.7810 0.0000 2.6302
Zr 1.7810 2.4073 0.0000
Sc 0.0000 2.4073 7.3423
Sc 1.7810 0.0000 7.3423
Ta 0.0000 0.0000 4.9701
Ta 1.7810 2.4073 4.9701
```